Record 1
VASP calculation (GGA-PBE) on an optimized crystal structure of HoZr3C.

```
5
Lattice="-1.932 -0.832 -4.211 -4.168 -0.741 2.059 -1.027 4.573 -0.432" Properties=species:S:1:pos:R:3 pbc="T T T"
C 0.000 0.000 0.000
Ho -3.563 1.500 -1.292
Zr -2.084 -0.370 1.029
Zr -0.513 2.287 -0.216
Zr -0.966 -0.416 -2.105
```

## Properties
The raw total energy is -8.057 eV per atom. As for the energy relative to the elements: -0.1680 eV/atom. The spin magnetization is 0.0 Bohr magnetons per cell.


Record 2
VASP calculation (GGA-PBE) on an optimized crystal structure of HoZr5C4.

```
10
Lattice="-0.505 3.211 -0.939 -2.516 -2.141 -5.967 -5.611 -1.239 4.875" Properties=species:S:1:pos:R:3 pbc="T T T"
Ho -0.252 1.606 -0.470
Zr -2.726 -0.560 -0.450
Zr -4.085 -1.704 -3.629
Zr -4.547 1.535 1.598
Zr -1.510 0.535 -3.453
Zr -5.906 0.391 -1.581
C -2.510 1.532 0.494
C -0.721 -0.569 -1.557
C -6.122 -1.701 -2.525
C -7.911 0.400 -0.474
```

## Properties
The raw total energy is -8.960 eV per atom. As for the energy relative to the elements: -0.5390 eV/atom. The spin magnetization is 0.0 Bohr magnetons per cell.


Record 3
VASP calculation (GGA-PBE) on an optimized crystal structure of InCI2.

```
4
Lattice="-4.308 -1.962 -2.692 -4.085 3.321 -1.391 -0.778 1.320 -5.225" Properties=species:S:1:pos:R:3 pbc="T T T"
I -2.293 0.670 -2.327
I -6.878 2.009 -6.981
C 0.000 0.000 0.000
In -4.585 1.339 -4.654
```

## Properties
The raw total energy is -2.207 eV per atom. The spin magnetization is 1.1 Bohr magnetons per cell. The value obtained for the formation energy (no corrections) is 1.56 eV per atom.


Record 4
VASP calculation (GGA-PBE) on an optimized crystal structure of InCI3.

```
5
Lattice="5.279 0.000 0.000 0.000 5.279 0.000 0.000 0.000 5.279" Properties=species:S:1:pos:R:3 pbc="T T T"
I 0.000 2.639 0.000
I 0.000 0.000 2.639
I 2.639 0.000 0.000
C 0.000 0.000 0.000
In 2.639 2.639 2.639
```

## Properties
The raw total energy is -2.516 eV per atom. The spin magnetization is 0.0 Bohr magnetons per cell. The value obtained for the formation energy (no corrections) is 0.81 eV per atom.


> What is the formula in the third record?

InCI2


> Which value of raw total energy does entry 3 give?

-2.207 eV per atom


> Look up the raw total energy of the second one.

-8.960 eV per atom